1.
The following is a meta-GGA SCAN calculation of BeBr3 at its PBEsol-relaxed geometry, from the Alexandria database.

Cell: 3.3375 3.3375 29.9682 Å, 90.00 90.00 120.00°
Closest atoms and distances in Å follow each position.
Fractional coordinates of all 12 atoms:
Be 0.0000 0.0000 0.0000  6 Br 2.38
Be 0.3333 0.6667 0.6667  6 Br 2.38
Be 0.6667 0.3333 0.3333  6 Br 2.38
Br 0.0000 0.0000 0.2869  3 Be 2.38
Br 0.0000 0.0000 0.5000  6 Br 3.34
Br 0.0000 0.0000 0.7131  3 Be 2.38
Br 0.3333 0.6667 0.1667  6 Br 3.34
Br 0.3333 0.6667 0.3798  3 Be 2.38
Br 0.3333 0.6667 0.9536  3 Be 2.38
Br 0.6667 0.3333 0.0464  3 Be 2.38
Br 0.6667 0.3333 0.6202  3 Be 2.38
Br 0.6667 0.3333 0.8333  6 Br 3.34

Properties
Symmetry   R-3m
DOS at the Fermi energy   6.3 states/eV/cell
DFT total energy   -193.43 eV for the cell shown
Volume   24.090 Å³/atom
Formation energy (no corrections)   -1.74 eV/f.u.
Total moment   1.2 μB per cell
E above lowest polymorph   0.0 meV/atom



2.
The following is a meta-GGA SCAN calculation of YSc2CrSi at its PBEsol-relaxed geometry, from the Alexandria database.

Cell: 4.9723 4.9723 5.3488 Å, 90.00 90.00 90.00°
Closest atoms and distances in Å follow each position.
Fractional coordinates of all 5 atoms:
Y 0.0000 0.0000 0.0000  2 Si 2.67
Sc 0.0000 0.5000 0.5000  2 Si 2.49
Sc 0.5000 0.0000 0.5000  2 Si 2.49
Cr 0.5000 0.5000 0.0000  4 Y 3.52, 8 Sc 3.65
Si 0.0000 0.0000 0.5000  4 Sc 2.49, 2 Y 2.67

Properties
Symmetry   P4/mmm
DOS at the Fermi energy   7.7 states/eV/cell
DFT total energy   -83.94 eV for the cell shown
Volume   26.448 Å³/atom
Formation energy (no corrections)   0.78 eV/f.u.
Total moment   4.9 μB per cell



3.
The following is a meta-GGA SCAN calculation of SiSn3S at its PBEsol-relaxed geometry, from the Alexandria database.

Cell: 5.1890 5.1890 5.1890 Å, 90.00 90.00 90.00°
Closest atoms and distances in Å follow each position.
Fractional coordinates of all 5 atoms:
Si 0.0000 0.0000 0.0000  12 Sn 3.67
Sn 0.0000 0.5000 0.5000  2 S 2.59
Sn 0.5000 0.0000 0.5000  2 S 2.59
Sn 0.5000 0.5000 0.0000  2 S 2.59
S 0.5000 0.5000 0.5000  6 Sn 2.59

Properties
Symmetry   Pm-3m
DOS at the Fermi energy   1.5 states/eV/cell
DFT total energy   -123.63 eV for the cell shown
Volume   27.943 Å³/atom
Formation energy (no corrections)   3.78 eV/f.u.
Total moment   0.0 μB per cell



Question: Which of these has the lowest formation energy (no corrections)?
Answer: BeBr3



Question: Which of these has the highest DFT total energy?
Answer: YSc2CrSi